Compound: PrTaNO
Source: OQMD
Functional: PBE
Structure: relaxed

a = 6.369 Å, b = 7.771 Å, c = 5.265 Å
α = 90.00°, β = 90.00°, γ = 90.00°
Space group Pca2_1 (No. 29)
Asymmetric unit:
Pr1 0.058 0.145 0.000 (multiplicity 4)
Ta1 0.125 0.652 0.003 (multiplicity 4)
N1 0.061 0.154 0.500 (multiplicity 4)
O1 0.081 0.540 0.634 (multiplicity 4)

Values from the calculation:
Offset from the most stable computed form in meV per atom: 318